Computed, not measured: an optimized crystal structure of Rb2FeNF6 at the PBE+U level of DFT.

The calculation puts the total energy at -4.38 eV/atom. The value obtained for the total magnetization is 5.0 μB/f.u. For the volume, the calculation gives 316.2 Å³/cell.

The structure belongs to space group I4/mmm (No. 139); the cell edges are 5.5252, 5.5252 and 10.3590 Å and the angles 90.00°, 90.00° and 90.00°. The asymmetric unit holds Rb at (0.0000, 0.5000, 0.2500), Fe at (0.0000, 0.0000, 0.0000), N at (0.0000, 0.0000, 0.5000), F at (0.0000, 0.0000, 0.1850) and F at (0.2459, 0.2459, 0.5000).